ThSnH6Ru3: optimized geometry, PBE-GGA.

abc: 4.9306 4.9306 4.9306
angles: 83.64 96.36 83.64
Sites, in units of the cell vectors:
Ru  0.4967  0.8999  0.1001
Ru  0.1001  0.8999  0.4967
Ru  0.1001  0.5033  0.1001
H  0.4094  0.9262  0.7014
H  0.0739  0.5907  0.7014
H  0.4093  0.2986  0.0739
H  0.7014  0.5906  0.0738
H  0.7014  0.9261  0.4093
H  0.0738  0.2986  0.4094
Th  0.5484  0.4516  0.5484
Sn  0.9559  0.0441  0.9559

Calculated density in g/cm³: 9.33
E_tot in eV per atom: -5.55


CaBiSbN2: optimized geometry, PBE-GGA.

abc: 4.3347 4.3347 6.2654
angles: 90.00 90.00 90.00
Site moments in Bohr magnetons follow the coordinates.
Sites, in units of the cell vectors:
Bi  0.5000  0.5000  0.5000  0.00
Ca  0.0000  0.0000  0.5000  0.01
N  0.0000  0.5000  0.0000  0.47
N  0.5000  0.0000  0.0000  0.47
Sb  0.0000  0.0000  0.0000  -0.01

Uncorrected formation energy in kJ/mol of atoms: 112.2
Calculated density in g/cm³: 5.63